VASP calculation (PBE-GGA) on a relaxed ZrMnSe4 crystal.

* energy relative to the elements, uncorrected: 0.5485 eV/atom

Geometry as POSCAR:
```
ZrMnSe4
1.0
0.000 3.985 3.985
3.985 0.000 3.985
3.985 3.985 0.000
Zr Mn Se
1 1 4
direct
0.000 0.000 0.000
0.750 0.750 0.750
0.375 0.375 0.375
0.375 0.375 0.875
0.375 0.875 0.375
0.875 0.375 0.375
```